Record 1
This record from Alexandria via LeMat-Bulk describes a relaxed K2TlHSe crystal. The functional is PBE.

Structure (extended XYZ):
```
5
Lattice="-0.5296 -2.7699 4.2785 4.7409 1.3116 1.4360 -1.8521 4.0646 2.4022" Properties=species:S:1:pos:R:3 pbc="T T T"
H 0.0000 0.0000 0.0000
Tl -0.9261 2.0323 1.2011
K 2.3705 0.6558 0.7180
K -0.2648 -1.3850 2.1393
Se 1.1796 1.3032 4.0584
```

## Properties
Its space-group type is P4/mmm (123). The total energy comes out at -2.764 eV/atom.

---

Record 2
This record from Alexandria via LeMat-Bulk describes a relaxed Tm3SbSe3 crystal. The functional is PBE.

Structure (extended XYZ):
```
14
Lattice="8.1366 0.0000 0.0000 4.0683 7.0465 0.0000 4.0683 2.3488 7.0303" Properties=species:S:1:pos:R:3 pbc="T T T"
Tm 5.5588 4.2642 1.8922
Tm 9.8008 2.6819 1.8922
Tm 9.0501 7.1468 1.8922
Tm 7.2230 2.2485 5.1381
Tm 6.4723 6.7134 5.1381
Tm 10.7144 5.1311 5.1381
Sb 8.1366 4.6976 7.0261
Sb 8.1366 4.6976 0.0042
Se 9.1137 7.4449 4.6989
Se 10.0272 2.4778 4.6989
Se 5.2688 4.1702 4.6989
Se 11.0043 5.2251 2.3314
Se 6.2459 6.9175 2.3314
Se 7.1594 1.9504 2.3314
```

## Properties
Its space-group type is R-3 (148). The uncorrected formation energy is -143.2 kJ/mol of atoms.

---

Record 3
This record from Alexandria via LeMat-Bulk describes a relaxed Ba4Ga3Pt2 crystal. The functional is PBE.

Structure (extended XYZ):
```
9
Lattice="4.0621 0.0000 -1.1200 -0.6713 7.5104 -2.4348 0.3088 -0.0298 9.0460" Properties=species:S:1:pos:R:3 pbc="T T T"
Ba 0.6269 5.1851 2.2737
Ba 3.0726 2.2955 3.2175
Ba 1.7926 6.6738 -1.4248
Ba 1.9069 0.8069 6.9160
Ga 0.2721 2.0394 0.9869
Ga 3.4274 5.4413 4.5043
Ga -0.3357 3.7552 -1.2174
Pt 1.5733 4.0726 5.7059
Pt 2.1262 3.4080 -0.2147
```

## Properties
Its space-group type is C2/m (12). As for the formation energy: -0.563 eV per atom.